LiPaCu4O8: relaxed, GGA-PBE.

## Properties
- formation energy without anion corrections (eV per formula unit) = -18.24
- crystal system = trigonal

abc: 6.0617 6.0617 6.1891
angles: 60.68 60.68 60.00
Last column: nearest neighbours and their distance in Å.
Sites, in units of the cell vectors:
Li  0.3832  0.3832  0.8504  3 O 1.95
Pa  0.9995  0.9995  0.0014  6 O 2.15-2.21
Cu  0.6327  0.6327  0.1018  4 O 1.96-2.02
Cu  0.0010  0.4957  0.5023  6 O 2.03-2.08
Cu  0.4957  0.0010  0.5023  6 O 2.03-2.08
Cu  0.0010  0.0010  0.5023  6 O 2.03-2.08
O  0.2469  0.7750  0.7312  1 Li 1.95, 2 Cu 2.06, 1 Pa 2.15
O  0.7750  0.2469  0.7312  1 Li 1.95, 2 Cu 2.06, 1 Pa 2.15
O  0.2469  0.2469  0.7312  1 Li 1.95, 2 Cu 2.06, 1 Pa 2.15
O  0.2352  0.2352  0.2945  3 Cu 2.03, 1 Li 2.27
O  0.7458  0.2304  0.2779  3 Cu 2.02-2.08, 1 Pa 2.21
O  0.2304  0.7458  0.2779  3 Cu 2.02-2.08, 1 Pa 2.21
O  0.7458  0.7458  0.2779  3 Cu 2.02-2.08, 1 Pa 2.21
O  0.7608  0.7608  0.7177  4 Cu 1.96-2.08

Li3PaCu2O6: relaxed, GGA-PBE.

## Properties
- formation energy without anion corrections (eV per formula unit) = -22.95
- crystal system = monoclinic

abc: 3.9073 6.3588 5.7893
angles: 97.55 109.72 90.00
Last column: nearest neighbours and their distance in Å.
Sites, in units of the cell vectors:
Li  0.5000  0.5000  0.0000  2 O 2.12
Li  0.7965  0.1581  0.5929  4 O 2.02-2.12
Li  0.2035  0.8419  0.4071  4 O 2.02-2.12
Pa  0.5000  0.0000  0.0000  2 O 2.01
Cu  0.8246  0.6111  0.6491  4 O 1.90-1.98
Cu  0.1754  0.3889  0.3509  4 O 1.90-1.98
O  0.3336  0.1014  0.6672  1 Pa 2.01, 3 Li 2.02-2.04
O  0.6757  0.3929  0.3515  3 Cu 1.95-1.98, 2 Li 2.12
O  0.6664  0.8986  0.3328  1 Pa 2.01, 3 Li 2.02-2.04
O  0.0187  0.2149  0.0375  1 Cu 1.90
O  0.9813  0.7851  0.9625  1 Cu 1.90
O  0.3243  0.6071  0.6485  3 Cu 1.95-1.98, 2 Li 2.12

Li2PaCuO4: relaxed, GGA-PBE.

## Properties
- formation energy without anion corrections (eV per formula unit) = -18.45
- crystal system = tetragonal

abc: 4.5384 4.5384 5.3820
angles: 114.94 114.94 90.00
Last column: nearest neighbours and their distance in Å.
Sites, in units of the cell vectors:
Li  0.2500  0.7500  0.5000  6 O 2.05-2.27
Li  0.0000  0.0000  0.0000  6 O 2.22-2.27
Pa  0.5000  0.5000  0.0000  6 O 2.10-2.27
Cu  0.7500  0.2500  0.5000  6 O 2.27
O  0.0127  0.5127  0.0254  3 Li 2.05-2.27, 1 Cu 2.27, 2 Pa 2.27
O  0.4873  0.9873  0.9746  3 Li 2.05-2.27, 1 Cu 2.27, 2 Pa 2.27
O  0.7430  0.7430  0.4860  1 Pa 2.10, 3 Li 2.22-2.27, 2 Cu 2.27
O  0.2570  0.2570  0.5140  1 Pa 2.10, 3 Li 2.22-2.27, 2 Cu 2.27

LiPa2CuO8: relaxed, GGA-PBE.

## Properties
- formation energy without anion corrections (eV per formula unit) = -24.34
- crystal system = trigonal

abc: 5.1457 5.1457 6.6421
angles: 90.00 90.00 120.00
Last column: nearest neighbours and their distance in Å.
Sites, in units of the cell vectors:
Li  0.0000  0.0000  0.5000  12 O 2.76-3.00
Pa  0.6667  0.3333  0.1563  1 O 1.87
Pa  0.3333  0.6667  0.8437  1 O 1.87
Cu  0.0000  0.0000  0.0000  6 O 1.85
O  0.8275  0.6550  0.8450  1 Cu 1.85
O  0.3450  0.1725  0.8450  1 Cu 1.85
O  0.8275  0.1725  0.8450  1 Cu 1.85
O  0.1725  0.3450  0.1550  1 Cu 1.85
O  0.6550  0.8275  0.1550  1 Cu 1.85
O  0.1725  0.8275  0.1550  1 Cu 1.85
O  0.6667  0.3333  0.4371  1 Pa 1.87
O  0.3333  0.6667  0.5629  1 Pa 1.87

LiPaCuO5: relaxed, GGA-PBE.

## Properties
- formation energy without anion corrections (eV per formula unit) = -15.27
- crystal system = monoclinic

abc: 5.4706 5.4706 7.7521
angles: 98.91 98.91 107.92
Last column: nearest neighbours and their distance in Å.
Sites, in units of the cell vectors:
Li  0.3240  0.6760  0.2500  3 O 1.87-1.89
Li  0.6760  0.3240  0.7500  3 O 1.87-1.89
Pa  0.0000  0.0000  0.5000  6 O 2.09-2.32
Pa  0.0000  0.0000  0.0000  6 O 2.09-2.32
Cu  0.6240  0.3760  0.2500  4 O 1.83-1.87
Cu  0.3760  0.6240  0.7500  4 O 1.83-1.87
O  0.1131  0.8869  0.2500  1 Li 1.87
O  0.8869  0.1131  0.7500  1 Li 1.87
O  0.6650  0.0888  0.1189  1 Cu 1.83
O  0.3350  0.9112  0.8811  1 Cu 1.83
O  0.9112  0.3350  0.3811  1 Cu 1.83
O  0.0888  0.6650  0.6189  1 Cu 1.83
O  0.6431  0.6923  0.3929  1 Cu 1.87, 1 Li 1.89, 1 Pa 2.09
O  0.3569  0.3077  0.6071  1 Cu 1.87, 1 Li 1.89, 1 Pa 2.09
O  0.3077  0.3569  0.1071  1 Cu 1.87, 1 Li 1.89, 1 Pa 2.09
O  0.6923  0.6431  0.8929  1 Cu 1.87, 1 Li 1.89, 1 Pa 2.09

LiPa2CuO6: relaxed, GGA-PBE.

## Properties
- formation energy without anion corrections (eV per formula unit) = -28.66
- crystal system = trigonal

abc: 6.0942 6.0942 6.0942
angles: 53.73 53.73 53.73
Last column: nearest neighbours and their distance in Å.
Sites, in units of the cell vectors:
Li  0.4697  0.4697  0.4697  3 O 1.96
Pa  0.1974  0.1974  0.1974  6 O 2.19-2.21
Pa  0.7012  0.7012  0.7012  6 O 2.19-2.21
Cu  0.9476  0.9476  0.9476  3 O 1.99
O  0.4480  0.0984  0.8005  1 Li 1.96, 2 Pa 2.19
O  0.0984  0.8005  0.4480  1 Li 1.96, 2 Pa 2.19
O  0.9375  0.3107  0.5895  1 Cu 1.99, 2 Pa 2.21
O  0.5895  0.9375  0.3107  1 Cu 1.99, 2 Pa 2.21
O  0.8005  0.4480  0.0984  1 Li 1.96, 2 Pa 2.19
O  0.3107  0.5895  0.9375  1 Cu 1.99, 2 Pa 2.21

Li4PaCu3O12: relaxed, GGA-PBE.

## Properties
- formation energy without anion corrections (eV per formula unit) = -21.77
- crystal system = cubic

abc: 6.3832 6.3832 6.3832
angles: 109.47 109.47 109.47
Last column: nearest neighbours and their distance in Å.
Sites, in units of the cell vectors:
Li  0.5000  0.0000  0.0000  6 O 2.02
Li  0.5000  0.5000  0.5000  6 O 2.02
Li  0.0000  0.5000  0.0000  6 O 2.02
Li  0.0000  0.0000  0.5000  6 O 2.02
Pa  0.0000  0.0000  0.0000  12 O 2.47
Cu  0.0000  0.5000  0.5000  4 O 1.83
Cu  0.5000  0.5000  0.0000  4 O 1.83
Cu  0.5000  0.0000  0.5000  4 O 1.83
O  0.3004  0.8518  0.1522  1 Cu 1.83, 2 Li 2.02
O  0.6996  0.1482  0.8478  1 Cu 1.83, 2 Li 2.02
O  0.6996  0.8518  0.5514  1 Cu 1.83, 2 Li 2.02
O  0.8478  0.6996  0.1482  1 Cu 1.83, 2 Li 2.02
O  0.8518  0.1522  0.3004  1 Cu 1.83, 2 Li 2.02
O  0.1482  0.4486  0.3004  1 Cu 1.83, 2 Li 2.02
O  0.4486  0.3004  0.1482  1 Cu 1.83, 2 Li 2.02
O  0.1482  0.8478  0.6996  1 Cu 1.83, 2 Li 2.02
O  0.3004  0.1482  0.4486  1 Cu 1.83, 2 Li 2.02
O  0.1522  0.3004  0.8518  1 Cu 1.83, 2 Li 2.02
O  0.8518  0.5514  0.6996  1 Cu 1.83, 2 Li 2.02
O  0.5514  0.6996  0.8518  1 Cu 1.83, 2 Li 2.02

Li2PaCuO6: relaxed, GGA-PBE.

## Properties
- formation energy without anion corrections (eV per formula unit) = -18.13
- crystal system = trigonal

abc: 5.1186 5.1186 5.7481
angles: 63.57 63.58 60.03
Last column: nearest neighbours and their distance in Å.
Sites, in units of the cell vectors:
Li  0.6137  0.6139  0.1584  3 O 2.00-2.01
Li  0.0186  0.0184  0.9447  3 O 2.00-2.01
Pa  0.8162  0.8162  0.5515  6 O 2.13-2.14
Cu  0.3162  0.3162  0.0515  6 O 1.92-1.93
O  0.5658  0.2041  0.2762  1 Cu 1.93, 1 Li 2.01, 1 Pa 2.13
O  0.2042  0.9540  0.2756  1 Cu 1.92, 1 Li 2.00, 1 Pa 2.14
O  0.9540  0.5658  0.2760  1 Cu 1.93, 1 Li 2.01, 1 Pa 2.13
O  0.4281  0.6783  0.8274  1 Cu 1.92, 1 Li 2.00, 1 Pa 2.14
O  0.6784  0.0665  0.8271  1 Cu 1.93, 1 Li 2.01, 1 Pa 2.13
O  0.0665  0.4282  0.8269  1 Cu 1.93, 1 Li 2.00, 1 Pa 2.13

LiPaCu2O6: relaxed, GGA-PBE.

## Properties
- formation energy without anion corrections (eV per formula unit) = -17.28
- crystal system = monoclinic

abc: 5.5251 6.6667 6.6667
angles: 78.07 96.89 96.89
Last column: nearest neighbours and their distance in Å.
Sites, in units of the cell vectors:
Li  0.2500  0.9343  0.0657  4 O 2.09-2.22
Li  0.7500  0.0657  0.9343  4 O 2.09-2.22
Pa  0.2500  0.3390  0.6610  8 O 2.22-2.43
Pa  0.7500  0.6610  0.3390  8 O 2.22-2.43
Cu  0.2923  0.9001  0.5896  4 O 1.83-1.88
Cu  0.2077  0.4104  0.0999  4 O 1.83-1.88
Cu  0.7077  0.0999  0.4104  4 O 1.83-1.88
Cu  0.7923  0.5896  0.9001  4 O 1.83-1.88
O  0.1154  0.0039  0.7559  1 Cu 1.84
O  0.3846  0.2441  0.9961  1 Cu 1.84
O  0.8846  0.9961  0.2441  1 Cu 1.84
O  0.6154  0.7559  0.0039  1 Cu 1.84
O  0.4702  0.8870  0.3700  2 Cu 1.85-1.88
O  0.0298  0.6300  0.1130  2 Cu 1.85-1.88
O  0.5298  0.1130  0.6300  2 Cu 1.85-1.88
O  0.9702  0.3700  0.8870  2 Cu 1.85-1.88
O  0.0839  0.6713  0.5585  1 Cu 1.83
O  0.4161  0.4415  0.3287  1 Cu 1.83
O  0.9161  0.3287  0.4415  1 Cu 1.83
O  0.5839  0.5585  0.6713  1 Cu 1.83

LiCuPbO4: relaxed, GGA-PBE.

## Properties
- formation energy without anion corrections (eV per formula unit) = -6.53
- crystal system = orthorhombic

abc: 5.7096 6.6003 6.4266
angles: 119.13 90.00 115.63
Last column: nearest neighbours and their distance in Å.
Sites, in units of the cell vectors:
Li  0.8552  0.7103  0.1052  2 O 1.91
Li  0.1448  0.2897  0.8948  2 O 1.91
Cu  0.5000  0.5000  0.5000  4 O 1.89
Cu  0.0000  0.5000  0.5000  4 O 1.89
Pb  0.5000  0.0000  0.5000  6 O 2.15-2.37
Pb  0.5000  0.0000  0.0000  6 O 2.15-2.37
O  0.7331  0.4663  0.6749  2 Cu 1.89
O  0.2322  0.9610  0.2305  1 Li 1.91
O  0.7288  0.9610  0.2305  1 Li 1.91
O  0.7331  0.4663  0.2914  2 Cu 1.89
O  0.2669  0.5337  0.7086  2 Cu 1.89
O  0.7678  0.0390  0.7695  1 Li 1.91
O  0.2712  0.0390  0.7695  1 Li 1.91
O  0.2669  0.5337  0.3251  2 Cu 1.89

LiCuPbO2: relaxed, GGA-PBE.

## Properties
- formation energy without anion corrections (eV per formula unit) = -5.09
- crystal system = monoclinic

abc: 4.4786 5.5391 5.7927
angles: 104.55 90.00 90.00
Last column: nearest neighbours and their distance in Å.
Sites, in units of the cell vectors:
Li  0.4826  0.0000  0.2500  4 O 2.04-2.08
Li  0.5174  0.0000  0.7500  4 O 2.04-2.08
Cu  0.0000  0.0000  0.0000  2 O 1.86
Cu  0.0000  0.0000  0.5000  2 O 1.86
Pb  0.2800  0.5000  0.7500  4 O 2.48-2.55
Pb  0.7200  0.5000  0.2500  4 O 2.48-2.55
O  0.6834  0.7755  0.9591  1 Cu 1.86, 2 Li 2.04-2.08
O  0.6834  0.2245  0.5409  1 Cu 1.86, 2 Li 2.04-2.08
O  0.3166  0.7755  0.4591  1 Cu 1.86, 2 Li 2.04-2.08
O  0.3166  0.2245  0.0409  1 Cu 1.86, 2 Li 2.04-2.08

Li2CuPd2O6: relaxed, GGA-PBE.

## Properties
- formation energy without anion corrections (eV per formula unit) = -9.39
- crystal system = monoclinic

abc: 5.3598 5.3598 5.1528
angles: 98.91 98.91 122.13
Last column: nearest neighbours and their distance in Å.
Sites, in units of the cell vectors:
Li  0.8352  0.1648  0.0000  6 O 2.15-2.25
Li  0.1648  0.8352  0.0000  6 O 2.15-2.25
Cu  0.0000  0.0000  0.5000  2 O 1.93
Pd  0.3361  0.6639  0.5000  6 O 2.02-2.08
Pd  0.6639  0.3361  0.5000  6 O 2.02-2.08
O  0.7512  0.7512  0.7093  1 Cu 1.93, 2 Pd 2.08
O  0.0586  0.4247  0.7269  2 Pd 2.02-2.05, 2 Li 2.15-2.17, 1 Cu 2.22
O  0.2488  0.2488  0.2907  1 Cu 1.93, 2 Pd 2.08
O  0.4247  0.0586  0.7269  2 Pd 2.02-2.05, 2 Li 2.15-2.17, 1 Cu 2.22
O  0.9414  0.5753  0.2731  2 Pd 2.02-2.05, 2 Li 2.15-2.17, 1 Cu 2.22
O  0.5753  0.9414  0.2731  2 Pd 2.02-2.05, 2 Li 2.15-2.17, 1 Cu 2.22